# 1
DFT (PBE-GGA) results for an optimized crystal structure of Gd2AlO4.

a b c (Å): 9.094 9.094 9.094
angles (deg): 90.00 90.00 90.00
Space group Fd-3m (No. 227, origin choice 2)
Unique sites:
1 Gd 0.000 0.000 0.000 [16 per cell]
2 Al 0.125 0.125 0.625 [8 per cell]
3 O 0.010 0.010 0.740 [32 per cell]

Results
- energy (eV per cell) = -431.85


# 2
DFT (PBE-GGA) results for an optimized crystal structure of Gd3AlO6.

a b c (Å): 8.899 11.138 5.407
angles (deg): 90.00 90.00 90.00
Space group Cmc2_1 (No. 36)
Unique sites:
1 Gd 0.000 0.104 0.000 [4 per cell]
2 Gd 0.192 0.394 0.045 [8 per cell]
3 Al 0.000 0.306 0.581 [4 per cell]
4 O 0.000 0.286 0.256 [4 per cell]
5 O 0.000 0.456 0.704 [4 per cell]
6 O 0.153 0.239 0.743 [8 per cell]
7 O 0.160 0.015 0.274 [8 per cell]

Results
- energy (eV per cell) = -326.41


# 3
DFT (PBE-GGA) results for an optimized crystal structure of Gd3AlO.

a b c (Å): 4.768 4.768 4.768
angles (deg): 90.00 90.00 90.00
Space group Pm-3m (No. 221)
Unique sites:
1 Gd 0.000 0.000 0.500 [3 per cell]
2 Al 0.500 0.500 0.500 [1 per cell]
3 O 0.000 0.000 0.000 [1 per cell]

Results
- energy (eV per cell) = -29.49


# 4
DFT (PBE-GGA) results for an optimized crystal structure of GdAlO3.

a b c (Å): 5.398 8.444 5.412
angles (deg): 90.00 90.00 90.00
Space group Pnma (No. 62)
Unique sites:
1 Gd 0.000 0.000 0.000 [4 per cell]
2 Al 0.020 0.250 0.467 [4 per cell]
3 O 0.139 0.092 0.638 [8 per cell]
4 O 0.203 0.250 0.168 [4 per cell]

Results
- energy (eV per cell) = -154.07


# 5
DFT (PBE-GGA) results for an optimized crystal structure of Gd4Al4O11.

a b c (Å): 5.221 7.386 5.315
angles (deg): 90.00 90.14 90.00
Space group Pm (No. 6)
Unique sites:
1 Gd 0.000 0.000 0.000 [1 per cell]
2 Gd 0.015 0.500 0.086 [1 per cell]
3 Gd 0.500 0.500 0.591 [1 per cell]
4 Gd 0.518 0.000 0.498 [1 per cell]
5 Al 0.010 0.251 0.544 [2 per cell]
6 Al 0.509 0.255 0.045 [2 per cell]
7 O 0.083 0.000 0.561 [1 per cell]
8 O 0.222 0.291 0.832 [2 per cell]
9 O 0.297 0.290 0.332 [2 per cell]
10 O 0.434 0.000 0.060 [1 per cell]
11 O 0.722 0.213 0.756 [2 per cell]
12 O 0.798 0.211 0.255 [2 per cell]
13 O 0.933 0.500 0.527 [1 per cell]

Results
- energy (eV per cell) = -147.87


# 6
DFT (PBE-GGA) results for an optimized crystal structure of Gd2AlOs3.

a b c (Å): 5.4239 5.4239 8.6583
angles (deg): 90.00 90.00 120.00
Space group P6_3/mmc (No. 194)
Unique sites:
1 Gd 0.3333 0.6667 0.0681 [4 per cell]
2 Al 0.0000 0.0000 0.0000 [2 per cell]
3 Os 0.1710 0.3419 0.7500 [6 per cell]

Results
- energy (eV per cell) = -97.71


# 7
DFT (PBE-GGA) results for an optimized crystal structure of GdAlOs.

a b c (Å): 6.315 6.315 6.315
angles (deg): 90.00 90.00 90.00
Space group F-43m (No. 216)
Unique sites:
1 Gd 0.000 0.000 0.000 [4 per cell]
2 Al 0.250 0.250 0.250 [4 per cell]
3 Os 0.000 0.000 0.500 [4 per cell]

Results
- energy (eV per cell) = -76.21


# 8
DFT (PBE-GGA) results for an optimized crystal structure of GdAl2Os2.

a b c (Å): 4.207 4.207 10.537
angles (deg): 90.00 90.00 90.00
Space group I4/mmm (No. 139)
Unique sites:
1 Gd 0.000 0.000 0.000 [2 per cell]
2 Al 0.000 0.500 0.250 [4 per cell]
3 Os 0.000 0.000 0.386 [4 per cell]

Results
- energy (eV per cell) = -72.54